No. 1
KNa4O2 | GGA-PBE | relaxed

Unit cell a=3.408 b=10.199 c=10.199 alpha=90.00 beta=90.00 gamma=90.00
Fractional coordinates of all 14 atoms:
K: 0.500 0.000 0.000
K: 0.000 0.500 0.500
Na: 0.000 0.207 0.396
Na: 0.000 0.793 0.604
Na: 0.500 0.104 0.707
Na: 0.500 0.896 0.293
Na: 0.500 0.293 0.896
Na: 0.500 0.707 0.104
Na: 0.000 0.396 0.207
Na: 0.000 0.604 0.793
O: 0.000 0.156 0.844
O: 0.000 0.844 0.156
O: 0.500 0.656 0.656
O: 0.500 0.344 0.344

Computed properties:
Total energy in eV/cell: -44.678
Spin magnetization in Bohr magnetons per cell: 0.0
Space-group type: P4_2/mnm (136)
Density in g/cm3: 1.53

=====

No. 2
K5NaO | GGA-PBE | relaxed

Unit cell a=8.646 b=8.646 c=11.331 alpha=70.96 beta=70.96 gamma=60.20
Fractional coordinates of all 14 atoms:
K: 0.346 0.925 0.931
K: 0.349 0.912 0.437
K: 0.925 0.346 0.431
K: 0.997 0.003 0.750
K: 0.088 0.651 0.063
K: 0.912 0.349 0.937
K: 0.003 0.997 0.250
K: 0.075 0.654 0.569
K: 0.651 0.088 0.563
K: 0.654 0.075 0.069
Na: 0.501 0.499 0.750
Na: 0.499 0.501 0.250
O: 0.000 0.000 0.000
O: 0.000 0.000 0.500

Computed properties:
Total energy in eV/cell: -29.555
Spin magnetization in Bohr magnetons per cell: 0.0
Space-group type: C2/c (15)
Density in g/cm3: 1.14

=====

No. 3
K3NaO2 | GGA-PBE | relaxed

Unit cell a=4.450 b=7.713 c=9.952 alpha=50.21 beta=77.08 gamma=73.23
Last column: magnetic moment on the atom in μB.
Fractional coordinates of all 12 atoms:
K: 0.055 0.088 0.802  0.00
K: 0.945 0.912 0.198  0.00
K: 0.679 0.692 0.949  0.00
K: 0.321 0.308 0.051  0.00
K: 0.814 0.805 0.568  0.00
K: 0.186 0.195 0.432  0.00
Na: 0.441 0.451 0.667  0.00
Na: 0.559 0.549 0.333  0.00
O: 0.875 0.387 0.863  0.06
O: 0.125 0.613 0.137  0.06
O: 0.610 0.169 0.611  0.06
O: 0.390 0.831 0.389  0.06

Computed properties:
Total energy in eV/cell: -41.539
Spin magnetization in Bohr magnetons per cell: 0.3
Space-group type: C2/m (12)
Density in g/cm3: 2.28

=====

No. 4
K2Na3O2 | GGA-PBE | relaxed

Unit cell a=3.431 b=6.017 c=8.529 alpha=99.11 beta=90.00 gamma=106.56
Fractional coordinates of all 7 atoms:
K: 0.808 0.616 0.164
K: 0.192 0.384 0.836
Na: 0.500 0.000 0.000
Na: 0.606 0.212 0.327
Na: 0.394 0.788 0.673
O: 0.871 0.741 0.851
O: 0.129 0.259 0.149

Computed properties:
Total energy in eV/cell: -22.032
Spin magnetization in Bohr magnetons per cell: 0.0
Space-group type: C2/m (12)
Density in g/cm3: 1.79

=====

No. 5
KNaO2 | GGA-PBE | relaxed

Unit cell a=4.385 b=4.385 c=7.587 alpha=91.13 beta=91.13 gamma=95.27
Fractional coordinates of all 8 atoms:
K: 0.016 0.919 0.019
K: 0.919 0.016 0.519
Na: 0.420 0.496 0.296
Na: 0.496 0.420 0.796
O: 0.385 0.705 0.561
O: 0.705 0.385 0.061
O: 0.418 0.909 0.728
O: 0.909 0.418 0.228

Computed properties:
Total energy in eV/cell: -32.461
Spin magnetization in Bohr magnetons per cell: 0.0
Space-group type: Cc (9)
Density in g/cm3: 2.15

=====

No. 6
K4NaO2 | GGA-PBE | relaxed

Unit cell a=4.796 b=4.796 c=9.220 alpha=74.93 beta=74.93 gamma=60.00
Fractional coordinates of all 7 atoms:
K: 0.406 0.406 0.781
K: 0.203 0.203 0.392
K: 0.797 0.797 0.608
K: 0.594 0.594 0.219
Na: 0.000 0.000 0.000
O: 0.099 0.099 0.704
O: 0.901 0.901 0.296

Computed properties:
Total energy in eV/cell: -21.109
Spin magnetization in Bohr magnetons per cell: 0.1
Space-group type: R-3m (166)
Density in g/cm3: 2.00

=====

No. 7
KNa2O2 | GGA-PBE | relaxed

Unit cell a=7.076 b=7.076 c=3.038 alpha=90.00 beta=90.00 gamma=90.00
Last column: magnetic moment on the atom in μB.
Fractional coordinates of all 10 atoms:
Na: 0.128 0.628 0.500  -0.01
Na: 0.628 0.872 0.500  -0.01
Na: 0.872 0.372 0.500  -0.01
Na: 0.372 0.128 0.500  -0.01
K: 0.000 0.000 0.000  -0.01
K: 0.500 0.500 0.000  -0.01
O: 0.333 0.833 0.000  0.42
O: 0.833 0.667 0.000  0.42
O: 0.667 0.167 0.000  0.42
O: 0.167 0.333 0.000  0.42

Computed properties:
Total energy in eV/cell: -36.224
Spin magnetization in Bohr magnetons per cell: 2.0
Space-group type: P4/mbm (127)
Density in g/cm3: 2.56

=====

No. 8
K8Na2O | GGA-PBE | relaxed

Unit cell a=8.197 b=10.684 c=8.137 alpha=76.43 beta=120.24 gamma=90.00
Fractional coordinates of all 11 atoms:
K: 0.719 0.184 0.896
K: 0.177 0.184 0.896
K: 0.281 0.816 0.104
K: 0.653 0.404 0.305
K: 0.823 0.816 0.104
K: 0.182 0.032 0.364
K: 0.818 0.968 0.636
K: 0.347 0.596 0.695
Na: 0.131 0.424 0.262
Na: 0.869 0.576 0.738
O: 0.000 0.000 0.000

Computed properties:
Total energy in eV/cell: -19.396
Spin magnetization in Bohr magnetons per cell: 0.0
Space-group type: C2/m (12)
Density in g/cm3: 1.05

=====

No. 9
KNaO2 | GGA-PBE | relaxed

Unit cell a=3.999 b=4.280 c=4.280 alpha=106.58 beta=90.00 gamma=90.00
Fractional coordinates of all 4 atoms:
K: 0.000 0.042 0.958
Na: 0.500 0.595 0.405
O: 0.500 0.139 0.562
O: 0.500 0.438 0.861

Computed properties:
Total energy in eV/cell: -16.152
Spin magnetization in Bohr magnetons per cell: 0.0
Space-group type: Amm2 (38)
Density in g/cm3: 2.23

=====

No. 10
K3NaO4 | GGA-PBE | relaxed

Unit cell a=4.123 b=4.712 c=7.776 alpha=107.64 beta=105.37 gamma=90.00
Fractional coordinates of all 8 atoms:
Na: 0.500 0.000 0.000
K: 0.199 0.199 0.399
K: 0.801 0.801 0.601
K: 0.000 0.500 0.000
O: 0.379 0.541 0.758
O: 0.621 0.459 0.242
O: 0.621 0.783 0.242
O: 0.379 0.217 0.758

Computed properties:
Total energy in eV/cell: -32.274
Spin magnetization in Bohr magnetons per cell: 0.0
Space-group type: Immm (71)
Density in g/cm3: 2.45

=====

No. 11
K3Na12O5 | GGA-PBE | relaxed

Unit cell a=14.106 b=14.106 c=14.106 alpha=109.47 beta=109.47 gamma=109.47
Fractional coordinates of all 80 atoms:
K: 0.750 0.375 0.125
K: 0.875 0.750 0.125
K: 0.375 0.750 0.625
K: 0.250 0.125 0.375
K: 0.875 0.125 0.250
K: 0.375 0.625 0.250
K: 0.625 0.375 0.750
K: 0.125 0.875 0.750
K: 0.750 0.875 0.625
K: 0.625 0.250 0.375
K: 0.125 0.250 0.875
K: 0.250 0.625 0.875
O: 0.125 0.375 0.250
O: 0.000 0.500 0.000
O: 0.000 0.000 0.000
O: 0.375 0.250 0.125
O: 0.500 0.000 0.500
O: 0.500 0.500 0.000
O: 0.125 0.750 0.375
O: 0.750 0.125 0.875
O: 0.750 0.625 0.375
O: 0.375 0.125 0.750
O: 0.625 0.875 0.250
O: 0.500 0.500 0.500
O: 0.500 0.000 0.000
O: 0.000 0.000 0.500
O: 0.250 0.375 0.625
O: 0.250 0.875 0.125
O: 0.000 0.500 0.500
O: 0.875 0.250 0.625
O: 0.625 0.750 0.875
O: 0.875 0.625 0.750
Na: 0.663 0.082 0.972
Na: 0.309 0.472 0.390
Na: 0.028 0.418 0.337
Na: 0.472 0.163 0.082
Na: 0.581 0.663 0.691
Na: 0.028 0.610 0.191
Na: 0.309 0.837 0.419
Na: 0.110 0.919 0.082
Na: 0.610 0.028 0.691
Na: 0.663 0.581 0.191
Na: 0.837 0.528 0.418
Na: 0.809 0.890 0.972
Na: 0.082 0.663 0.472
Na: 0.418 0.390 0.081
Na: 0.081 0.890 0.418
Na: 0.419 0.082 0.610
Na: 0.081 0.191 0.163
Na: 0.528 0.691 0.110
Na: 0.809 0.919 0.337
Na: 0.082 0.419 0.110
Na: 0.418 0.028 0.837
Na: 0.610 0.582 0.419
Na: 0.890 0.809 0.472
Na: 0.837 0.309 0.919
Na: 0.390 0.418 0.581
Na: 0.110 0.191 0.528
Na: 0.163 0.691 0.081
Na: 0.191 0.081 0.663
Na: 0.582 0.972 0.163
Na: 0.918 0.581 0.890
Na: 0.472 0.309 0.890
Na: 0.581 0.918 0.390
Na: 0.919 0.809 0.837
Na: 0.919 0.110 0.582
Na: 0.918 0.337 0.528
Na: 0.191 0.110 0.028
Na: 0.582 0.610 0.919
Na: 0.390 0.972 0.309
Na: 0.337 0.419 0.809
Na: 0.163 0.472 0.582
Na: 0.890 0.081 0.918
Na: 0.691 0.163 0.581
Na: 0.528 0.837 0.918
Na: 0.972 0.390 0.809
Na: 0.419 0.337 0.309
Na: 0.972 0.582 0.663
Na: 0.691 0.528 0.610
Na: 0.337 0.918 0.028

Computed properties:
Total energy in eV/cell: -228.280
Spin magnetization in Bohr magnetons per cell: 0.0
Space-group type: Ia-3d (230)
Density in g/cm3: 1.45

=====

No. 12
K3NaO | GGA-PBE | relaxed

Unit cell a=7.240 b=7.164 c=8.180 alpha=90.00 beta=90.00 gamma=103.05
Fractional coordinates of all 10 atoms:
K: 0.673 0.863 0.505
K: 0.327 0.137 0.495
K: 0.673 0.863 0.995
K: 0.327 0.137 0.005
K: 0.773 0.314 0.250
K: 0.227 0.686 0.750
Na: 0.283 0.721 0.250
Na: 0.717 0.279 0.750
O: 0.506 0.999 0.250
O: 0.494 0.001 0.750

Computed properties:
Excess energy over the best structure of this formula in the dataset in eV/atom: 0.005
Spin magnetization in Bohr magnetons per cell: 0.0
Space-group type: P2_1/m (11)
Density in g/cm3: 1.26

=====

No. 13
K3Na4O | GGA-PBE | relaxed

Unit cell a=7.830 b=7.830 c=7.830 alpha=89.83 beta=121.49 gamma=118.72
Fractional coordinates of all 8 atoms:
K: 0.646 0.330 0.976
K: 0.913 0.000 0.913
K: 0.646 0.670 0.317
Na: 0.119 0.646 0.765
Na: 0.119 0.354 0.473
Na: 0.619 0.216 0.404
Na: 0.188 0.784 0.404
O: 0.899 0.500 0.399

Computed properties:
Total energy in eV/cell: -16.662
Spin magnetization in Bohr magnetons per cell: 0.0
Space-group type: Imm2 (44)
Density in g/cm3: 1.10

=====

No. 14
K2NaO4 | GGA-PBE | relaxed

Unit cell a=6.929 b=6.959 c=6.958 alpha=96.04 beta=62.53 gamma=62.51
Last column: magnetic moment on the atom in μB.
Fractional coordinates of all 14 atoms:
K: 0.472 0.515 0.459  0.00
K: 0.971 0.209 0.765  0.00
K: 0.070 0.443 0.327  0.00
K: 0.570 0.076 0.693  0.00
Na: 0.466 0.854 0.118  0.00
Na: 0.966 0.868 0.104  0.00
O: 0.601 0.137 0.093  0.16
O: 0.824 0.568 0.119  0.25
O: 0.324 0.869 0.818  0.25
O: 0.490 0.125 0.324  0.20
O: 0.578 0.674 0.744  0.24
O: 0.101 0.843 0.387  0.16
O: 0.078 0.494 0.924  0.24
O: 0.990 0.074 0.375  0.20

Computed properties:
Total energy in eV/cell: -60.233
Spin magnetization in Bohr magnetons per cell: 2.1
Space-group type: Cc (9)
Density in g/cm3: 2.27

=====

No. 15
K4Na2O | GGA-PBE | relaxed

Unit cell a=4.059 b=7.399 c=10.888 alpha=109.12 beta=100.74 gamma=90.00
Fractional coordinates of all 7 atoms:
K: 0.081 0.350 0.161
K: 0.919 0.650 0.839
K: 0.431 0.080 0.861
K: 0.569 0.920 0.139
Na: 0.259 0.252 0.518
Na: 0.741 0.748 0.482
O: 0.000 0.000 0.000

Computed properties:
Excess energy over the best structure of this formula in the dataset in eV/atom: 0.000
Spin magnetization in Bohr magnetons per cell: 0.0
Space-group type: C2/m (12)
Density in g/cm3: 1.20

=====

No. 16
KNaO | GGA-PBE | relaxed

Unit cell a=4.834 b=3.882 c=3.882 alpha=120.00 beta=90.00 gamma=90.00
Last column: magnetic moment on the atom in μB.
Fractional coordinates of all 3 atoms:
Na: 0.185 0.333 0.667  0.00
K: 0.756 0.667 0.333  0.00
O: 0.059 0.000 0.000  0.06

Computed properties:
Total energy in eV/cell: -10.446
Spin magnetization in Bohr magnetons per cell: 0.1
Space-group type: P3m1 (156)
Density in g/cm3: 2.06

=====

No. 17
K2NaO6 | GGA-PBE | relaxed

Unit cell a=4.079 b=7.173 c=5.991 alpha=113.69 beta=99.61 gamma=86.96
Last column: magnetic moment on the atom in μB.
Fractional coordinates of all 9 atoms:
K: 0.502 0.281 0.639  0.00
K: 0.498 0.719 0.361  0.00
Na: 0.000 0.000 0.000  0.00
O: 0.034 0.000 0.619  0.26
O: 0.912 0.582 0.009  0.49
O: 0.918 0.416 0.419  0.49
O: 0.088 0.418 0.991  0.49
O: 0.966 0.000 0.381  0.26
O: 0.082 0.584 0.581  0.49

Computed properties:
Total energy in eV/cell: -39.672
Spin magnetization in Bohr magnetons per cell: 3.0
Space-group type: P-1 (2)
Density in g/cm3: 2.07

=====

No. 18
K3NaO | GGA-PBE | relaxed

Unit cell a=5.591 b=5.591 c=5.591 alpha=90.00 beta=90.00 gamma=90.00
Fractional coordinates of all 5 atoms:
Na: 0.500 0.500 0.500
K: 0.000 0.500 0.000
K: 0.000 0.000 0.500
K: 0.500 0.000 0.000
O: 0.000 0.000 0.000

Computed properties:
Excess energy over the best structure of this formula in the dataset in eV/atom: 0.090
Spin magnetization in Bohr magnetons per cell: 0.0
Space-group type: Pm-3m (221)
Density in g/cm3: 1.48

=====

No. 19
K6Na2O | GGA-PBE | relaxed

Unit cell a=8.478 b=10.104 c=10.346 alpha=90.00 beta=90.00 gamma=90.45
Fractional coordinates of all 18 atoms:
K: 0.003 0.762 0.000
K: 0.224 0.499 0.181
K: 0.276 0.001 0.319
K: 0.224 0.499 0.819
K: 0.276 0.001 0.681
K: 0.497 0.738 0.500
K: 0.997 0.238 0.000
K: 0.776 0.501 0.819
K: 0.724 0.999 0.681
K: 0.776 0.501 0.181
K: 0.724 0.999 0.319
K: 0.503 0.262 0.500
Na: 0.003 0.312 0.500
Na: 0.497 0.188 0.000
Na: 0.503 0.812 0.000
Na: 0.997 0.688 0.500
O: 0.500 0.000 0.500
O: 0.000 0.500 0.000

Computed properties:
Total energy in eV/cell: -34.781
Spin magnetization in Bohr magnetons per cell: 0.0
Space-group type: C2/m (12)
Density in g/cm3: 1.11